Density functional theory data (GGA-PBE) for K3IrF after structural relaxation.

Energy above the most stable polymorph in this dataset ... 0 meV per atom
Formation energy from raw total energies ... -2.460 eV/f.u.
Density ... 3.88 g/cm³
Density of states at the Fermi level ... 0.8134 states/eV per atom
Total energy ... -3.297 eV/atom
Total moment ... 0.200 μB per atom

Cell lengths 5.1995, 5.1995, 5.1995 Å; angles 90.00, 90.00, 90.00 degrees
Closest atoms and distances in Å follow each position.
Atoms (fractional coordinates):
1 K 0.0000 0.0000 0.5000  2 F 2.60
2 K 0.0000 0.5000 0.0000  2 F 2.60
3 K 0.5000 0.0000 0.0000  2 F 2.60
4 Ir 0.5000 0.5000 0.5000  12 K 3.68
5 F 0.0000 0.0000 0.0000  6 K 2.60